No. 1
Density functional theory data (PBE) for CaHo12Tm5 after structural relaxation.

Energy of formation: 0.0337 eV per atom
Magnetic moment: 0.0000 μB per atom
V: 31.075 Å³ per atom
Density of states at the Fermi level: 24.544 states/eV per cell
Total DFT energy (no corrections): -4.37 eV per atom

POSCAR file:
```
CaHo12Tm5
1.0
3.071 -5.315 0.000
3.071 5.315 0.000
-2.054 0.000 17.133
Ca Ho Tm
1 12 5
Direct
0.000 0.000 0.000
0.055 0.715 0.170
0.110 0.443 0.335
0.223 0.223 0.665
0.285 0.945 0.830
0.395 0.395 0.170
0.443 0.110 0.335
0.557 0.890 0.665
0.605 0.605 0.830
0.715 0.055 0.170
0.777 0.777 0.335
0.890 0.557 0.665
0.945 0.285 0.830
0.167 0.833 0.500
0.333 0.667 0.000
0.500 0.500 0.500
0.667 0.333 0.000
0.833 0.167 0.500
```

=====

No. 2
Density functional theory data (PBE) for Ac8TlSn6 after structural relaxation.

Energy of formation: -0.5293 eV per atom
Magnetic moment: 0.0001 μB per atom
V: 36.707 Å³ per atom
Density of states at the Fermi level: 12.336 states/eV per cell
Total DFT energy (no corrections): -4.48 eV per atom

POSCAR file:
```
Ac8TlSn6
1.0
11.959 0.000 0.000
-5.980 10.357 0.000
0.000 0.000 4.445
Ac Tl Sn
8 1 6
Direct
0.078 0.773 0.256
0.227 0.305 0.256
0.305 0.078 0.744
0.333 0.667 0.750
0.667 0.333 0.250
0.695 0.922 0.256
0.773 0.695 0.744
0.922 0.227 0.744
0.000 0.000 0.000
0.078 0.480 0.247
0.403 0.922 0.247
0.480 0.403 0.753
0.520 0.597 0.247
0.597 0.078 0.753
0.922 0.520 0.753
```

=====

No. 3
Density functional theory data (PBE) for Sm3CdSn3 after structural relaxation.

Energy of formation: -0.4076 eV per atom
Magnetic moment: 0.0000 μB per atom
V: 33.781 Å³ per atom
Density of states at the Fermi level: 7.636 states/eV per cell
Excess energy over the best structure of this formula in the dataset: 242 meV/atom
Total DFT energy (no corrections): -4.28 eV per atom

POSCAR file:
```
Sm3CdSn3
1.0
9.331 0.000 0.000
-4.666 8.081 0.000
0.000 0.000 6.272
Sm Cd Sn
6 2 6
Direct
0.047 0.364 0.250
0.317 0.953 0.250
0.364 0.317 0.750
0.636 0.683 0.250
0.683 0.047 0.750
0.953 0.636 0.750
0.333 0.667 0.750
0.667 0.333 0.250
0.040 0.344 0.750
0.304 0.960 0.750
0.344 0.304 0.250
0.656 0.696 0.750
0.696 0.040 0.250
0.960 0.656 0.250
```

=====

No. 4
Density functional theory data (PBE) for AgTe2AuN after structural relaxation.

Formation energy without anion corrections: 4.8 eV/f.u.
Magnetic moment: 0.0077 μB per atom
V: 25.227 Å³ per atom
Density of states at the Fermi level: 5.001 states/eV per cell
Excess energy over the best structure of this formula in the dataset: 0 meV/atom
Total DFT energy (no corrections): -3.19 eV per atom

POSCAR file:
```
AgTe2AuN
1.0
5.819 0.000 0.000
0.000 5.819 0.000
0.000 0.000 3.725
Ag Te Au N
1 2 1 1
Direct
0.000 0.000 0.000
0.000 0.500 0.500
0.500 0.000 0.500
0.500 0.500 0.500
0.500 0.500 0.000
```

=====

No. 5
Density functional theory data (PBE) for CaPmGePd after structural relaxation.

Energy of formation: -0.7038 eV per atom
Magnetic moment: 0.0000 μB per atom
V: 23.359 Å³ per atom
Density of states at the Fermi level: 2.331 states/eV per cell
Excess energy over the best structure of this formula in the dataset: 12 meV/atom
Total DFT energy (no corrections): -4.84 eV per atom

POSCAR file:
```
CaPmGePd
1.0
0.000 3.602 3.602
3.602 0.000 3.602
3.602 3.602 0.000
Ca Pm Ge Pd
1 1 1 1
Direct
0.000 0.000 0.000
0.500 0.500 0.500
0.750 0.750 0.750
0.250 0.250 0.250
```

=====

No. 6
Density functional theory data (PBE) for Fe2Ir6Ru after structural relaxation.

Energy of formation: 0.4772 eV per atom
Magnetic moment: 0.7333 μB per atom
V: 16.801 Å³ per atom
Density of states at the Fermi level: 12.324 states/eV per cell
Excess energy over the best structure of this formula in the dataset: 505 meV/atom
Total DFT energy (no corrections): -8.34 eV per atom

POSCAR file:
```
Fe2Ir6Ru
1.0
2.661 1.537 6.163
-2.661 1.537 6.163
0.000 -3.073 6.163
Fe Ir Ru
2 6 1
Direct
0.000 0.000 0.000
0.198 0.198 0.198
0.189 0.704 0.704
0.488 0.488 0.977
0.488 0.977 0.488
0.704 0.189 0.704
0.704 0.704 0.189
0.977 0.488 0.488
0.422 0.422 0.422
```

=====

No. 7
Density functional theory data (PBE) for FeSnP2S after structural relaxation.

Formation energy without anion corrections: 6.8 eV/f.u.
Magnetic moment: 0.6830 μB per atom
V: 24.043 Å³ per atom
Density of states at the Fermi level: 7.920 states/eV per cell
Excess energy over the best structure of this formula in the dataset: 1088 meV/atom
Total DFT energy (no corrections): -4.13 eV per atom

POSCAR file:
```
FeSnP2S
1.0
4.947 0.000 0.000
0.000 4.947 0.000
0.000 0.000 4.912
Fe Sn P S
1 1 2 1
Direct
0.000 0.000 0.000
0.500 0.500 0.500
0.000 0.500 0.500
0.500 0.000 0.500
0.500 0.500 0.000
```

=====

No. 8
Density functional theory data (PBE) for Dy3RuAu2 after structural relaxation.

Energy of formation: -0.7214 eV per atom
Magnetic moment: 0.0000 μB per atom
V: 22.039 Å³ per atom
Density of states at the Fermi level: 3.284 states/eV per cell
Total DFT energy (no corrections): -5.66 eV per atom

POSCAR file:
```
Dy3RuAu2
1.0
3.507 0.000 0.000
0.000 3.507 0.000
0.000 0.000 10.754
Dy Ru Au
3 1 2
Direct
0.000 0.000 0.000
0.000 0.000 0.346
0.000 0.000 0.654
0.500 0.500 0.500
0.500 0.500 0.171
0.500 0.500 0.829
```